[1]
The following is a PBE-GGA calculation of a geometry-optimized LiFeNi5 structure, from the Alexandria database.

## Properties
The total energy is -5.4187 eV/atom. As for the crystal system: tetragonal. Its space group is P4/mmm. The spin magnetization is 5.33 μB/f.u.

a = 3.6390 Å, b = 3.6390 Å, c = 6.0906 Å
α = 90.00°, β = 90.00°, γ = 90.00°
Each line ends with the local moment (μB).
Fractional positions:
Li  0.5000  0.5000  0.0000  -0.05
Ni  0.0000  0.5000  0.2285  0.57
Ni  0.0000  0.5000  0.7715  0.57
Ni  0.5000  0.0000  0.7715  0.57
Ni  0.5000  0.0000  0.2285  0.57
Ni  0.5000  0.5000  0.5000  0.68
Fe  0.0000  0.0000  0.5000  2.71

***

[2]
The following is a PBE-GGA calculation of a geometry-optimized Pm9Ho4Tm11 structure, from the Alexandria database.

## Properties
The total energy is -4.5456 eV/atom. As for the crystal system: orthorhombic. Its space group is Cmmm. The spin magnetization is 0.00 μB/f.u.

a = 3.6905 Å, b = 15.0855 Å, c = 15.0855 Å
α = 113.15°, β = 90.00°, γ = 90.00°
Fractional positions:
Tm  0.0000  0.0000  0.0000
Tm  0.0000  0.9544  0.5937
Tm  0.0000  0.5937  0.9544
Tm  0.0000  0.7109  0.7109
Tm  0.0000  0.2891  0.2891
Tm  0.0000  0.4063  0.0456
Tm  0.0000  0.0456  0.4063
Tm  0.0000  0.8393  0.1607
Tm  0.0000  0.6335  0.3665
Tm  0.0000  0.1607  0.8393
Tm  0.0000  0.3665  0.6335
Pm  0.5000  0.2132  0.0659
Pm  0.5000  0.6300  0.1623
Pm  0.5000  0.8377  0.3700
Pm  0.5000  0.0659  0.2132
Pm  0.5000  0.9341  0.7868
Pm  0.5000  0.7868  0.9341
Pm  0.5000  0.1623  0.6300
Pm  0.5000  0.5000  0.5000
Pm  0.5000  0.3700  0.8377
Ho  0.5000  0.4454  0.2449
Ho  0.5000  0.7551  0.5546
Ho  0.5000  0.5546  0.7551
Ho  0.5000  0.2449  0.4454

***

[3]
The following is a PBE-GGA calculation of a geometry-optimized LiSn2N structure, from the Alexandria database.

## Properties
The total energy is -4.3848 eV/atom. For the uncorrected formation energy, the calculation gives 0.18 eV/atom. As for the crystal system: tetragonal. Its space group is I-42d. The spin magnetization is 0.00 μB/f.u.

a = 6.7846 Å, b = 6.7846 Å, c = 5.8336 Å
α = 54.44°, β = 54.44°, γ = 90.00°
Fractional positions:
Li  0.2500  0.7500  0.5000
Li  0.5000  0.5000  0.0000
Sn  0.3750  0.3101  0.7500
Sn  0.6899  0.1250  0.2500
Sn  0.0601  0.6250  0.2500
Sn  0.8750  0.9399  0.7500
N  0.0000  0.0000  0.0000
N  0.7500  0.2500  0.5000

***

Which of these has the highest spin magnetization?
LiFeNi5

***

The highest spin magnetization belongs to which entry?
LiFeNi5

***

Look up the spin magnetization of the first one.
5.33 μB/f.u.